Record 1
This record from Alexandria describes an optimized crystal structure of Pm2HoSc8. The functional is PBE.

Energy relative to the elements ... 0.1532 eV/atom
Final energy ... -5.7315 eV/atom

a = 8.6601 Å, b = 15.3371 Å, c = 5.5285 Å
α = 90.00°, β = 125.26°, γ = 90.00°
Closest atoms and distances in Å follow each position.
Space group C2/m (No. 12)
Asymmetric unit:
Pm  0.0000  0.1937  0.0000 x4  8 Sc 3.16-3.39
Ho  0.0000  0.5000  0.5000 x2  4 Sc 3.16-3.33
Sc  0.0000  0.2941  0.5000 x4  1 Ho 3.16, 2 Pm 3.16, 6 Sc 3.39-3.46
Sc  0.0533  0.0000  0.2886 x4  4 Sc 2.76-3.00
Sc  0.2141  0.3823  0.1858 x8  3 Sc 3.00-3.21, 1 Pm 3.27

Record 2
This record from Alexandria describes an optimized crystal structure of PmHoSc4. The functional is PBE.

Energy above the most stable polymorph in this dataset ... 0 meV/atom
Energy relative to the elements ... 0.0656 eV/atom
Final energy ... -5.7101 eV/atom

a = 6.5503 Å, b = 18.5228 Å, c = 5.3371 Å
α = 90.00°, β = 90.00°, γ = 90.00°
Closest atoms and distances in Å follow each position.
Space group Cmcm (No. 63)
Asymmetric unit:
Pm  0.0000  0.1233  0.2500 x4  2 Ho 3.28, 12 Sc 3.48-3.52
Ho  0.0000  0.3735  0.7500 x4  2 Pm 3.28, 12 Sc 3.47-3.51
Sc  0.2460  0.4582  0.2500 x8  5 Sc 3.08-3.33
Sc  0.2490  0.2915  0.2500 x8  5 Sc 3.08-3.29

Record 3
This record from Alexandria describes an optimized crystal structure of Pm7Ho4Sc. The functional is PBE.

Energy above the most stable polymorph in this dataset ... 0 meV/atom
Energy relative to the elements ... 0.0170 eV/atom
Final energy ... -4.8078 eV/atom

a = 6.2362 Å, b = 7.2139 Å, c = 8.9064 Å
α = 89.96°, β = 76.38°, γ = 89.92°
Closest atoms and distances in Å follow each position.
Space group P-1 (No. 2)
Asymmetric unit:
Pm  0.0000  0.0000  0.0000 x1  2 Ho 3.56, 8 Pm 3.56-3.63, 2 Sc 3.61
Pm  0.2269  0.0007  0.3357 x2  7 Pm 3.56-3.65, 5 Ho 3.58-3.65
Pm  0.2774  0.2545  0.6680 x2  6 Ho 3.53-3.69, 1 Sc 3.53, 5 Pm 3.56-3.65
Pm  0.4985  0.7451  0.9993 x2  3 Ho 3.53-3.54, 7 Pm 3.54-3.68, 2 Sc 3.58-3.59
Ho  0.2174  0.5005  0.3329 x2  4 Ho 3.52-3.61, 1 Sc 3.54, 7 Pm 3.54-3.61
Ho  0.2754  0.7432  0.6701 x2  1 Sc 3.50, 8 Pm 3.53-3.69, 3 Ho 3.55-3.61
Sc  0.0000  0.5000  0.0000 x1  4 Ho 3.50-3.54, 8 Pm 3.53-3.61

Record 4
This record from Alexandria describes an optimized crystal structure of Pm3Ho8Sc3. The functional is PBE.

Energy relative to the elements ... 0.3824 eV/atom
Final energy ... -4.6082 eV/atom

a = 5.3888 Å, b = 9.5685 Å, c = 17.1732 Å
α = 90.00°, β = 90.00°, γ = 90.00°
Closest atoms and distances in Å follow each position.
Space group Immm (No. 71)
Asymmetric unit:
Pm  0.0000  0.0000  0.0000 x2  4 Ho 3.13
Pm  0.0000  0.2412  0.5000 x4  6 Ho 3.44-3.54, 4 Sc 3.55-3.84, 2 Pm 3.66
Ho  0.0000  0.1567  0.2992 x8  4 Ho 3.00-3.16, 1 Sc 3.32
Ho  0.0000  0.2395  0.1244 x8  3 Ho 3.10-3.16, 3 Pm 3.13-3.44, 1 Sc 3.28
Sc  0.0000  0.5000  0.0000 x2  4 Ho 3.28, 4 Pm 3.55
Sc  0.0000  0.5000  0.3289 x4  6 Ho 3.32-3.63

Record 5
This record from Alexandria describes an optimized crystal structure of PmHo10Sc4. The functional is PBE.

Energy relative to the elements ... 0.5802 eV/atom
Final energy ... -4.4767 eV/atom

a = 12.2595 Å, b = 12.2595 Å, c = 6.5773 Å
α = 90.00°, β = 90.00°, γ = 90.00°
Closest atoms and distances in Å follow each position.
Space group I4/m (No. 87)
Asymmetric unit:
Pm  0.0000  0.0000  0.0000 x2  8 Sc 4.03, 8 Ho 4.09
Ho  0.0000  0.5000  0.2500 x4  6 Ho 3.08-3.29
Ho  0.1228  0.7192  0.2453 x16  4 Ho 3.08-3.35, 2 Sc 3.16
Sc  0.0688  0.1764  0.5000 x8  6 Ho 3.16-3.47, 2 Sc 3.28

Record 6
This record from Alexandria describes an optimized crystal structure of Pm2HoSc. The functional is PBE.

Energy above the most stable polymorph in this dataset ... 0 meV/atom
Energy relative to the elements ... 0.0395 eV/atom
Final energy ... -5.0631 eV/atom

a = 3.5798 Å, b = 3.5798 Å, c = 9.6383 Å
α = 90.00°, β = 90.00°, γ = 90.00°
Closest atoms and distances in Å follow each position.
Space group P4/mmm (No. 123)
Asymmetric unit:
Pm  0.0000  0.0000  0.2390 x2  4 Sc 3.42, 4 Ho 3.57, 4 Pm 3.58
Ho  0.5000  0.5000  0.5000 x1  8 Pm 3.57, 4 Ho 3.58
Sc  0.5000  0.5000  0.0000 x1  8 Pm 3.42, 4 Sc 3.58

Question: Which of these has the lowest final energy?
Answer: Pm2HoSc8